DFT (PBE-GGA) results for an optimized crystal structure of ZrAsP3.

Formation energy from the elements (eV per atom): 0.722
Density (kg/m3): 3440
Electronic total energy (eV per atom): -5.16
Crystal system: cubic
Energy relative to the lowest polymorph listed for this composition (meV/atom): 148

Structure (POSCAR):
```
ZrAsP3
1.0
5.001 0.000 0.000
0.000 5.001 0.000
0.000 0.000 5.001
P As Zr
3 1 1
Cartesian
0.000 2.500 0.000
0.000 0.000 2.500
2.500 0.000 0.000
2.500 2.500 2.500
0.000 0.000 0.000
```